# 1
Here is an optimized crystal structure of Ga2Co2Bi from the Alexandria database. Energies are from GGA-PBE.

Cell lengths 3.658, 3.658, 6.493 Å; angles 73.64, 73.64, 90.00 degrees
Fractional positions:
Co 0.392 0.392 0.216
Co 0.608 0.608 0.784
Bi 0.000 0.000 0.000
Ga 0.750 0.250 0.500
Ga 0.250 0.750 0.500

Output
- Energy above the most stable polymorph in this dataset: 0 kJ/mol of formula units
- Space-group type: I4/mmm
- Calculated formation energy: 0.05 eV per atom

# 2
Here is an optimized crystal structure of KLiSe2 from the Alexandria database. Energies are from GGA-PBE.

Cell lengths 2.945, 3.997, 7.794 Å; angles 90.00, 90.00, 90.00 degrees
Fractional positions:
K 0.500 0.500 0.250
Li 0.500 0.500 0.750
Se 0.000 0.000 0.958
Se 0.000 0.000 0.542

Output
- Uncorrected formation energy: -710 meV per atom
- Space-group type: Pmmm

# 3
Here is an optimized crystal structure of Ca2SnGeAu6 from the Alexandria database. Energies are from GGA-PBE.

Cell lengths 5.731, 9.299, 8.981 Å; angles 90.00, 90.00, 90.00 degrees
Fractional positions:
Ca 0.500 0.743 0.245
Ca 0.000 0.257 0.745
Ca 0.500 0.743 0.755
Ca 0.000 0.257 0.255
Sn 0.000 0.722 0.500
Sn 0.500 0.278 0.000
Ge 0.500 0.252 0.500
Ge 0.000 0.748 0.000
Au 0.500 0.113 0.253
Au 0.500 0.113 0.747
Au 0.000 0.887 0.247
Au 0.000 0.887 0.753
Au 0.250 0.994 0.500
Au 0.750 0.994 0.500
Au 0.251 0.477 0.500
Au 0.749 0.477 0.500
Au 0.751 0.523 0.000
Au 0.249 0.523 0.000
Au 0.250 0.006 0.000
Au 0.750 0.006 0.000

Output
- Space-group type: Pmmn
- Calculated formation energy: -0.41 eV per atom

# 4
Here is an optimized crystal structure of TaVH2 from the Alexandria database. Energies are from GGA-PBE.

Cell lengths 2.897, 3.324, 5.479 Å; angles 72.58, 58.38, 55.14 degrees
Fractional positions:
Ta 0.736 0.182 0.688
V 0.239 0.688 0.174
H 0.155 0.552 0.528
H 0.574 0.062 0.090

Output
- Energy above the most stable polymorph in this dataset: 0 kJ/mol of formula units
- Space-group type: P1

# 5
Here is an optimized crystal structure of Li6AcAu4 from the Alexandria database. Energies are from GGA-PBE.

Cell lengths 6.697, 6.697, 6.697 Å; angles 99.51, 114.67, 114.67 degrees
Fractional positions:
Li 0.000 0.753 0.477
Li 0.000 0.477 0.753
Li 0.724 0.247 0.247
Li 0.500 0.000 0.500
Li 0.276 0.523 0.523
Li 0.500 0.500 0.000
Ac 0.000 0.000 0.000
Au 0.000 0.126 0.546
Au 0.580 0.454 0.454
Au 0.000 0.546 0.126
Au 0.420 0.874 0.874

Output
- Energy above the most stable polymorph in this dataset: 129 kJ/mol of formula units
- Space-group type: I-42m
- Calculated formation energy: -0.39 eV per atom

# 6
Here is an optimized crystal structure of CsMoSe3 from the Alexandria database. Energies are from GGA-PBE.

Cell lengths 6.432, 9.832, 9.078 Å; angles 100.05, 90.00, 90.00 degrees
Fractional positions:
Cs 0.421 0.393 0.284
Cs 0.579 0.607 0.716
Cs 0.921 0.607 0.216
Cs 0.079 0.393 0.784
Mo 0.794 0.051 0.951
Mo 0.206 0.949 0.049
Mo 0.294 0.949 0.549
Mo 0.706 0.051 0.451
Se 0.080 0.964 0.331
Se 0.920 0.036 0.669
Se 0.580 0.036 0.169
Se 0.420 0.964 0.831
Se 0.054 0.193 0.092
Se 0.946 0.807 0.908
Se 0.554 0.807 0.408
Se 0.446 0.193 0.592
Se 0.392 0.724 0.102
Se 0.608 0.276 0.898
Se 0.892 0.276 0.398
Se 0.108 0.724 0.602

Output
- Energy above the most stable polymorph in this dataset: 0 kJ/mol of formula units
- Uncorrected formation energy: -559 meV per atom
- Space-group type: P2_1/c

# 7
Here is an optimized crystal structure of PuMgTcPt from the Alexandria database. Energies are from GGA-PBE.

Cell lengths 4.670, 4.670, 4.670 Å; angles 60.00, 60.00, 60.00 degrees
Site moments in Bohr magnetons follow the coordinates.
Fractional positions:
Mg 0.500 0.500 0.500  0.01
Tc 0.750 0.750 0.750  -0.89
Pt 0.250 0.250 0.250  -0.11
Pu 0.000 0.000 0.000  4.76

Output
- Space-group type: F-43m
- Calculated formation energy: -0.30 eV per atom

# 8
Here is an optimized crystal structure of TiMnSi from the Alexandria database. Energies are from GGA-PBE.

Cell lengths 4.713, 4.906, 6.711 Å; angles 90.00, 90.00, 90.00 degrees
Fractional positions:
Si 0.000 0.000 0.000
Si 0.000 0.500 0.000
Si 0.500 0.500 0.500
Si 0.500 0.000 0.500
Mn 0.250 0.250 0.750
Mn 0.250 0.750 0.250
Mn 0.750 0.750 0.250
Mn 0.750 0.250 0.750
Ti 0.000 0.250 0.378
Ti 0.000 0.750 0.622
Ti 0.500 0.750 0.878
Ti 0.500 0.250 0.122

Output
- Uncorrected formation energy: -596 meV per atom
- Space-group type: Imma

# 9
Here is an optimized crystal structure of Sr2TlCd4In3 from the Alexandria database. Energies are from GGA-PBE.

Cell lengths 4.850, 4.850, 12.302 Å; angles 90.00, 90.00, 90.00 degrees
Fractional positions:
Sr 0.500 0.000 0.243
Sr 0.000 0.500 0.757
Tl 0.500 0.500 0.500
Cd 0.500 0.500 0.000
Cd 0.000 0.000 0.000
Cd 0.500 0.000 0.641
Cd 0.000 0.500 0.359
In 0.000 0.000 0.500
In 0.500 0.000 0.867
In 0.000 0.500 0.133

Output
- Space-group type: P-4m2
- Calculated formation energy: -0.25 eV per atom

# 10
Here is an optimized crystal structure of Hg2AsSe2S from the Alexandria database. Energies are from GGA-PBE.

Cell lengths 8.059, 7.131, 7.079 Å; angles 120.24, 90.00, 90.00 degrees
Fractional positions:
Hg 0.827 0.891 0.318
Hg 0.827 0.573 0.682
Hg 0.327 0.427 0.318
Hg 0.327 0.109 0.682
As 0.313 0.775 0.000
As 0.813 0.225 0.000
Se 0.160 0.781 0.308
Se 0.160 0.474 0.692
Se 0.660 0.219 0.692
Se 0.660 0.526 0.308
S 0.686 0.944 0.000
S 0.186 0.056 0.000

Output
- Uncorrected formation energy: -45 meV per atom
- Space-group type: Cmc2_1

# 11
Here is an optimized crystal structure of Rb4Hg3 from the Alexandria database. Energies are from GGA-PBE.

Cell lengths 5.334, 15.127, 15.127 Å; angles 120.00, 90.00, 90.00 degrees
Fractional positions:
Rb 0.755 0.768 0.012
Rb 0.755 0.988 0.757
Rb 0.755 0.243 0.232
Rb 0.245 0.232 0.988
Rb 0.245 0.012 0.243
Rb 0.245 0.757 0.768
Rb 0.750 0.617 0.483
Rb 0.750 0.517 0.135
Rb 0.750 0.865 0.383
Rb 0.250 0.383 0.517
Rb 0.250 0.483 0.865
Rb 0.250 0.135 0.617
Hg 0.753 0.333 0.667
Hg 0.247 0.667 0.333
Hg 0.747 0.278 0.838
Hg 0.747 0.162 0.439
Hg 0.747 0.561 0.722
Hg 0.253 0.722 0.162
Hg 0.253 0.838 0.561
Hg 0.253 0.439 0.278
Hg 0.500 0.000 0.000

Output
- Energy above the most stable polymorph in this dataset: 0 kJ/mol of formula units
- Space-group type: P-3
- Calculated formation energy: -0.19 eV per atom

# 12
Here is an optimized crystal structure of CuPb2F from the Alexandria database. Energies are from GGA-PBE.

Cell lengths 5.172, 5.172, 8.333 Å; angles 71.92, 71.92, 90.00 degrees
Fractional positions:
Pb 0.593 0.125 0.250
Pb 0.157 0.625 0.250
Pb 0.375 0.407 0.750
Pb 0.875 0.843 0.750
Cu 0.000 0.000 0.000
Cu 0.750 0.250 0.500
F 0.500 0.500 0.000
F 0.250 0.750 0.500

Output
- Energy above the most stable polymorph in this dataset: 26 kJ/mol of formula units
- Uncorrected formation energy: -424 meV per atom
- Space-group type: I-42d

# 13
Here is an optimized crystal structure of NaGeMo2W from the Alexandria database. Energies are from GGA-PBE.

Cell lengths 4.686, 4.373, 4.686 Å; angles 90.00, 90.00, 90.00 degrees
Fractional positions:
Na 0.000 0.500 0.000
Mo 0.000 0.000 0.500
Mo 0.500 0.000 0.000
Ge 0.000 0.000 0.000
W 0.500 0.500 0.500

Output
- Space-group type: P4/mmm
- Calculated formation energy: 1.72 eV per atom

# 14
Here is an optimized crystal structure of PmCuGeAs from the Alexandria database. Energies are from GGA-PBE.

Cell lengths 4.876, 4.876, 4.876 Å; angles 60.00, 60.00, 60.00 degrees
Fractional positions:
As 0.750 0.750 0.750
Ge 0.500 0.500 0.500
Cu 0.250 0.250 0.250
Pm 0.000 0.000 0.000

Output
- Space-group type: F-43m
- Calculated formation energy: -0.25 eV per atom

# 15
Here is an optimized crystal structure of TiAg3Hg from the Alexandria database. Energies are from GGA-PBE.

Cell lengths 5.123, 5.123, 5.123 Å; angles 90.00, 90.00, 90.00 degrees
Fractional positions:
Hg 0.000 0.000 0.000
Ag 0.000 0.500 0.000
Ag 0.000 0.000 0.500
Ag 0.500 0.000 0.000
Ti 0.500 0.500 0.500

Output
- Energy above the most stable polymorph in this dataset: 33 kJ/mol of formula units
- Space-group type: Pm-3m
- Calculated formation energy: 1.07 eV per atom

# 16
Here is an optimized crystal structure of TbHoPdAu from the Alexandria database. Energies are from GGA-PBE.

Cell lengths 5.028, 5.028, 5.028 Å; angles 60.00, 60.00, 60.00 degrees
Fractional positions:
Tb 0.500 0.500 0.500
Au 0.750 0.750 0.750
Ho 0.000 0.000 0.000
Pd 0.250 0.250 0.250

Output
- Energy above the most stable polymorph in this dataset: 17 kJ/mol of formula units
- Space-group type: F-43m
- Calculated formation energy: -0.86 eV per atom

# 17
Here is an optimized crystal structure of Ti4VOs from the Alexandria database. Energies are from GGA-PBE.

Cell lengths 4.397, 5.200, 5.218 Å; angles 94.20, 114.92, 115.01 degrees
Fractional positions:
Ti 0.347 0.508 0.686
Ti 0.653 0.492 0.314
Ti 0.145 0.969 0.820
Ti 0.855 0.031 0.180
V 0.500 0.000 0.500
Os 0.000 0.500 0.000

Output
- Energy above the most stable polymorph in this dataset: 0 kJ/mol of formula units
- Space-group type: C2/m
- Calculated formation energy: -0.24 eV per atom

# 18
Here is an optimized crystal structure of CaRe2Pt from the Alexandria database. Energies are from GGA-PBE.

Cell lengths 9.924, 9.924, 9.924 Å; angles 16.41, 16.41, 16.41 degrees
Fractional positions:
Re 0.007 0.007 0.007
Re 0.493 0.493 0.493
Ca 0.250 0.250 0.250
Pt 0.750 0.750 0.750

Output
- Energy above the most stable polymorph in this dataset: 184 kJ/mol of formula units
- Space-group type: R-3m
- Calculated formation energy: 0.57 eV per atom

# 19
Here is an optimized crystal structure of Ac2ErScHg6 from the Alexandria database. Energies are from GGA-PBE.

Cell lengths 7.737, 7.737, 7.737 Å; angles 60.00, 60.00, 90.00 degrees
Fractional positions:
Ac 0.250 0.750 0.500
Ac 0.750 0.250 0.500
Er 0.500 0.500 0.000
Sc 0.000 0.000 0.000
Hg 0.245 0.755 0.000
Hg 0.755 0.755 0.000
Hg 0.245 0.245 0.510
Hg 0.755 0.245 0.000
Hg 0.245 0.245 0.000
Hg 0.755 0.755 0.490

Output
- Space-group type: Fm-3m
- Calculated formation energy: -0.03 eV per atom

# 20
Here is an optimized crystal structure of Pr4Dy6Tm from the Alexandria database. Energies are from GGA-PBE.

Cell lengths 9.728, 9.728, 9.728 Å; angles 58.24, 139.75, 139.75 degrees
Fractional positions:
Pr 0.000 0.634 0.014
Pr 0.380 0.366 0.366
Pr 0.000 0.014 0.634
Pr 0.620 0.986 0.986
Dy 0.000 0.799 0.446
Dy 0.000 0.446 0.799
Dy 0.354 0.554 0.554
Dy 0.500 0.500 0.000
Dy 0.646 0.201 0.201
Dy 0.500 0.000 0.500
Tm 0.000 0.000 0.000

Output
- Energy above the most stable polymorph in this dataset: 133 kJ/mol of formula units
- Space-group type: I-42m
- Calculated formation energy: 0.29 eV per atom

Number 1: magnetization 0.00 μB per cell, calculated volume 79.7 Å³/cell. Number 2: magnetization 0.00 μB per cell, calculated volume 91.8 Å³/cell. Number 3: magnetization 0.00 μB per cell, calculated volume 478.7 Å³/cell. Number 4: magnetization 0.00 μB per cell, calculated volume 36.9 Å³/cell. Number 5: magnetization 0.00 μB per cell, calculated volume 226.1 Å³/cell. Number 6: magnetization 0.00 μB per cell, calculated volume 565.3 Å³/cell. Number 7: magnetization 3.84 μB per cell, calculated volume 72.0 Å³/cell. Number 8: magnetization 0.00 μB per cell, calculated volume 155.2 Å³/cell. Number 9: magnetization 0.00 μB per cell, calculated volume 289.3 Å³/cell. Number 10: magnetization 0.00 μB per cell, calculated volume 351.5 Å³/cell. Number 11: magnetization 0.00 μB per cell, calculated volume 1057.0 Å³/cell. Number 12: magnetization 0.00 μB per cell, calculated volume 200.3 Å³/cell. Number 13: magnetization 0.00 μB per cell, calculated volume 96.0 Å³/cell. Number 14: magnetization 0.00 μB per cell, calculated volume 82.0 Å³/cell. Number 15: magnetization 0.01 μB per cell, calculated volume 134.4 Å³/cell. Number 16: magnetization 0.00 μB per cell, calculated volume 89.9 Å³/cell. Number 17: magnetization 0.00 μB per cell, calculated volume 93.4 Å³/cell. Number 18: magnetization 0.00 μB per cell, calculated volume 68.0 Å³/cell. Number 19: magnetization 0.00 μB per cell, calculated volume 327.5 Å³/cell. Number 20: magnetization 0.00 μB per cell, calculated volume 380.9 Å³/cell.